## P
Below is Sr2CaMo at its PBEsol-relaxed geometry, with properties calculated at the SCAN level.

Geometry as CIF:
```
data_Sr2CaMo
_cell_length_a 3.6534
_cell_length_b 3.6534
_cell_length_c 34.9008
_cell_angle_alpha 90.00
_cell_angle_beta 90.00
_cell_angle_gamma 120.00
_space_group_name_H-M_alt 'R -3 m'
_space_group_IT_number 166
_space_group_name_Hall '-R 3 2"'
loop_
_atom_site_label
_atom_site_fract_x
_atom_site_fract_y
_atom_site_fract_z
_atom_site_occupancy
Sr1 0.0000 0.0000 0.2333 1
Ca1 0.0000 0.0000 0.0000 1
Mo1 0.0000 0.0000 0.5000 1
```

Summary:
V = 33.619 Å³/atom

***

## Q
Below is Sr2CaMo at its PBEsol-relaxed geometry, with properties calculated at the SCAN level.

Geometry as CIF:
```
data_Sr2CaMo
_cell_length_a 3.8186
_cell_length_b 5.8803
_cell_length_c 12.2144
_cell_angle_alpha 90.00
_cell_angle_beta 90.00
_cell_angle_gamma 90.00
_space_group_name_H-M_alt 'I m m m'
_space_group_IT_number 71
_space_group_name_Hall '-I 2 2'
loop_
_atom_site_label
_atom_site_fract_x
_atom_site_fract_y
_atom_site_fract_z
_atom_site_occupancy
Sr1 0.0000 0.0000 0.2013 1
Ca1 0.0000 0.5000 0.0000 1
Mo1 0.0000 0.5000 0.5000 1
```

Summary:
V = 34.284 Å³/atom

***

Pick Q: it beats the second-best structure by 9.3 kJ/mol of atoms.

***

## P
Below is CaTcMo2 at its PBEsol-relaxed geometry, with properties calculated at the SCAN level.

Geometry as CIF:
```
data_CaTcMo2
_cell_length_a 6.3833
_cell_length_b 6.3833
_cell_length_c 6.3833
_cell_angle_alpha 90.00
_cell_angle_beta 90.00
_cell_angle_gamma 90.00
_space_group_name_H-M_alt 'F m -3 m'
_space_group_IT_number 225
_space_group_name_Hall '-F 4 2 3'
loop_
_atom_site_label
_atom_site_fract_x
_atom_site_fract_y
_atom_site_fract_z
_atom_site_occupancy
Ca1 0.0000 0.0000 0.0000 1
Tc1 0.0000 0.0000 0.5000 1
Mo1 0.2500 0.2500 0.2500 1
```

Summary:
V = 16.256 Å³/atom

***

## Q
Below is CaTcMo2 at its PBEsol-relaxed geometry, with properties calculated at the SCAN level.

Geometry as CIF:
```
data_CaTcMo2
_cell_length_a 5.2872
_cell_length_b 9.6133
_cell_length_c 2.6206
_cell_angle_alpha 90.00
_cell_angle_beta 90.00
_cell_angle_gamma 90.00
_space_group_name_H-M_alt 'C m m m'
_space_group_IT_number 65
_space_group_name_Hall '-C 2 2'
loop_
_atom_site_label
_atom_site_fract_x
_atom_site_fract_y
_atom_site_fract_z
_atom_site_occupancy
Ca1 0.0000 0.0000 0.0000 1
Tc1 0.0000 0.5000 0.0000 1
Mo1 0.2500 0.2500 0.5000 1
```

Summary:
V = 16.650 Å³/atom

***

Pick P: it beats the second-best structure by 4.6 kJ/mol of atoms.